No. 1
Computed, not measured: a relaxed structure of KMgTa2Hg at the PBE level of DFT.

Unit cell a=5.281 b=5.281 c=5.329 alpha=90.00 beta=90.00 gamma=90.00
Element x y z (fractional)
K (0.000, 0.000, 0.000)
Mg (0.500, 0.500, 0.000)
Ta (0.000, 0.500, 0.500)
Ta (0.500, 0.000, 0.500)
Hg (0.500, 0.500, 0.500)

Summary:
uncorrected energy: -3.679 eV per atom
symmetry: P4/mmm (123)
ρ: 6.99 g/cm³



No. 2
Computed, not measured: a relaxed structure of Tb6Pm12Tl at the PBE level of DFT.

Unit cell a=8.615 b=8.615 c=8.615 alpha=88.64 beta=88.64 gamma=88.64
Element x y z (fractional)
Tb (0.209, 0.598, 0.756)
Tb (0.244, 0.791, 0.402)
Tb (0.402, 0.244, 0.791)
Tb (0.598, 0.756, 0.209)
Tb (0.756, 0.209, 0.598)
Tb (0.791, 0.402, 0.244)
Pm (0.038, 0.283, 0.931)
Pm (0.069, 0.962, 0.717)
Pm (0.137, 0.317, 0.485)
Pm (0.283, 0.931, 0.038)
Pm (0.317, 0.485, 0.137)
Pm (0.485, 0.137, 0.317)
Pm (0.515, 0.863, 0.683)
Pm (0.683, 0.515, 0.863)
Pm (0.717, 0.069, 0.962)
Pm (0.863, 0.683, 0.515)
Pm (0.931, 0.038, 0.283)
Pm (0.962, 0.717, 0.069)
Tl (0.500, 0.500, 0.500)

Summary:
uncorrected energy: -4.509 eV per atom
symmetry: R-3 (148)
ρ: 7.53 g/cm³



No. 3
Computed, not measured: a relaxed structure of Ce4CuRh12 at the PBE level of DFT.

Unit cell a=7.226 b=7.226 c=7.226 alpha=109.47 beta=109.47 gamma=109.47
Element x y z (fractional)
Ce (0.000, 0.000, 0.500)
Ce (0.000, 0.500, 0.000)
Ce (0.500, 0.000, 0.000)
Ce (0.500, 0.500, 0.500)
Cu (0.000, 0.000, 0.000)
Rh (0.000, 0.289, 0.289)
Rh (0.000, 0.711, 0.711)
Rh (0.250, 0.500, 0.750)
Rh (0.250, 0.750, 0.500)
Rh (0.289, 0.000, 0.289)
Rh (0.289, 0.289, 0.000)
Rh (0.500, 0.250, 0.750)
Rh (0.500, 0.750, 0.250)
Rh (0.711, 0.000, 0.711)
Rh (0.711, 0.711, 0.000)
Rh (0.750, 0.250, 0.500)
Rh (0.750, 0.500, 0.250)

Summary:
uncorrected energy: -7.347 eV per atom
symmetry: Im-3m (229)
ρ: 10.63 g/cm³



| no. | total moment (μB per formula unit) | E_form (meV per atom) |
| --- | --- | --- |
| 1 | 2.58 | 1660 |
| 2 | 0.00 | 78 |
| 3 | 0.00 | -521 |